Entry 1:
The following is a DFT calculation (GGA-PBE) of an optimized crystal structure of La6PmNd2Y.

a = 9.336 Å, b = 9.182 Å, c = 9.182 Å
α = 114.64°, β = 89.74°, γ = 89.74°
Sites, in units of the cell vectors:
La (0.096, 0.070, 0.781)
La (0.404, 0.219, 0.930)
La (0.904, 0.930, 0.219)
La (0.596, 0.781, 0.070)
La (0.320, 0.035, 0.473)
La (0.180, 0.527, 0.965)
La (0.680, 0.965, 0.527)
La (0.820, 0.473, 0.035)
La (0.091, 0.724, 0.423)
La (0.409, 0.577, 0.276)
La (0.909, 0.276, 0.577)
La (0.591, 0.423, 0.724)
Pm (0.250, 0.432, 0.568)
Pm (0.750, 0.568, 0.432)
Nd (0.436, 0.795, 0.705)
Nd (0.064, 0.295, 0.205)
Nd (0.564, 0.205, 0.295)
Nd (0.936, 0.705, 0.795)
Y (0.250, 0.928, 0.072)
Y (0.750, 0.072, 0.928)

## Properties
- Fermi-level density of states: 24.67 states/eV per cell
- Symmetry: C2/c, No. 15
- Energy relative to the elements: 10 kJ per mole of atoms

***

Entry 2:
The following is a DFT calculation (GGA-PBE) of an optimized crystal structure of TiPtRh3.

a = 3.930 Å, b = 4.750 Å, c = 4.738 Å
α = 80.11°, β = 65.48°, γ = 65.55°
Sites, in units of the cell vectors:
Ti (0.960, 0.361, 0.366)
Pt (0.762, 0.958, 0.163)
Rh (0.358, 0.164, 0.766)
Rh (0.162, 0.762, 0.560)
Rh (0.566, 0.562, 0.952)

## Properties
- Fermi-level density of states: 4.53 states/eV per cell
- Symmetry: Cm, No. 8
- Energy relative to the elements: -49 kJ per mole of atoms

***

Entry 3:
The following is a DFT calculation (GGA-PBE) of an optimized crystal structure of Sr4AsI2N.

a = 4.339 Å, b = 7.531 Å, c = 8.301 Å
α = 108.05°, β = 90.00°, γ = 90.00°
Sites, in units of the cell vectors:
Sr (0.500, 0.264, 0.182)
Sr (0.500, 0.736, 0.818)
Sr (0.000, 0.291, 0.818)
Sr (0.000, 0.709, 0.182)
As (0.000, 0.000, 0.000)
I (0.500, 0.000, 0.500)
I (0.000, 0.500, 0.500)
N (0.500, 0.500, 0.000)

## Properties
- Raw formation energy: -1214 meV/atom
- Symmetry: P2/m, No. 10

***

Electronic total energy across the listed records, respectively: -4.925; -7.703; -4.064 eV/atom.